# 1
Below is a crystal of SnP3Ru relaxed with PBEsol, with properties calculated at the SCAN level.

- spin magnetization (μB per atom) = 0.393
- energy relative to the elements (kJ/mol of formula units) = 923

Cell lengths 4.8263, 4.8263, 4.8263 Å; angles 90.00, 90.00, 90.00 degrees
Sites, in units of the cell vectors:
1 Sn 0.0000 0.0000 0.0000
2 P 0.0000 0.0000 0.5000
3 P 0.0000 0.5000 0.0000
4 P 0.5000 0.0000 0.0000
5 Ru 0.5000 0.5000 0.5000

=====

# 2
Below is a crystal of LaPS2F relaxed with PBEsol, with properties calculated at the SCAN level.

- spin magnetization (μB per atom) = 0.000
- calculated total energy (eV for the cell shown) = -80.25

Cell lengths 4.7893, 4.7893, 3.9233 Å; angles 90.00, 90.00, 90.00 degrees
Sites, in units of the cell vectors:
1 La 0.0000 0.0000 0.0000
2 P 0.5000 0.5000 0.0000
3 S 0.0000 0.5000 0.5000
4 S 0.5000 0.0000 0.5000
5 F 0.5000 0.5000 0.5000

=====

# 3
Below is a crystal of IrRuPt2 relaxed with PBEsol, with properties calculated at the SCAN level.

- spin magnetization (μB per atom) = 0.000
- energy relative to the elements (kJ/mol of formula units) = -5

Cell lengths 9.0928, 9.0928, 9.0928 Å; angles 17.20, 17.20, 17.20 degrees
Sites, in units of the cell vectors:
1 Ir 0.0000 0.0000 0.0000
2 Ru 0.7442 0.7442 0.7442
3 Pt 0.2478 0.2478 0.2478
4 Pt 0.4937 0.4937 0.4937

=====

# 4
Below is a crystal of Ba2ZrSc relaxed with PBEsol, with properties calculated at the SCAN level.

- spin magnetization (μB per atom) = 0.001
- energy relative to the elements (kJ/mol of formula units) = 278

Cell lengths 6.3246, 6.3246, 6.3246 Å; angles 133.36, 133.36, 68.10 degrees
Sites, in units of the cell vectors:
1 Ba 0.2500 0.7500 0.5000
2 Ba 0.7500 0.2500 0.5000
3 Zr 0.0000 0.0000 0.0000
4 Sc 0.5000 0.5000 0.0000

=====

# 5
Below is a crystal of AlReAs2 relaxed with PBEsol, with properties calculated at the SCAN level.

- spin magnetization (μB per atom) = 0.000
- energy relative to the elements (kJ/mol of formula units) = 0

Cell lengths 9.3958, 9.3958, 9.3958 Å; angles 17.90, 17.90, 17.90 degrees
Sites, in units of the cell vectors:
1 Al 0.0000 0.0000 0.0000
2 Re 0.2589 0.2589 0.2589
3 As 0.5245 0.5245 0.5245
4 As 0.7459 0.7459 0.7459

=====

# 6
Below is a crystal of Sc3Nb3B4Ru10 relaxed with PBEsol, with properties calculated at the SCAN level.

- spin magnetization (μB per atom) = 0.000
- energy relative to the elements (kJ/mol of formula units) = -1231

Cell lengths 3.0337, 9.3686, 9.3686 Å; angles 89.90, 90.00, 90.00 degrees
Sites, in units of the cell vectors:
1 Sc 0.0000 0.0000 0.0000
2 Sc 0.0000 0.1494 0.4986
3 Sc 0.0000 0.4986 0.1494
4 Nb 0.0000 0.3202 0.8250
5 Nb 0.0000 0.6497 0.6497
6 Nb 0.0000 0.8250 0.3202
7 B 0.0000 0.2044 0.2044
8 B 0.0000 0.4450 0.4450
9 B 0.0000 0.7007 0.9452
10 B 0.0000 0.9452 0.7007
11 Ru 0.5000 0.0428 0.2542
12 Ru 0.5000 0.1047 0.7520
13 Ru 0.5000 0.2542 0.0428
14 Ru 0.5000 0.3262 0.3262
15 Ru 0.5000 0.4032 0.6095
16 Ru 0.5000 0.5422 0.8885
17 Ru 0.5000 0.6095 0.4032
18 Ru 0.5000 0.7520 0.1047
19 Ru 0.5000 0.8207 0.8207
20 Ru 0.5000 0.8885 0.5422

=====

# 7
Below is a crystal of BeP2Pt relaxed with PBEsol, with properties calculated at the SCAN level.

- spin magnetization (μB per atom) = 0.000
- energy relative to the elements (kJ/mol of formula units) = 101

Cell lengths 3.2658, 3.2658, 4.9365 Å; angles 90.00, 90.00, 90.00 degrees
Sites, in units of the cell vectors:
1 Be 0.0000 0.0000 0.0000
2 P 0.5000 0.5000 0.2185
3 P 0.5000 0.5000 0.7815
4 Pt 0.0000 0.0000 0.5000

=====

# 8
Below is a crystal of KSi2Mo relaxed with PBEsol, with properties calculated at the SCAN level.

- spin magnetization (μB per atom) = 0.001
- calculated total energy (eV for the cell shown) = -62.77

Cell lengths 3.2070, 3.2070, 7.5200 Å; angles 90.00, 90.00, 90.00 degrees
Sites, in units of the cell vectors:
1 K 0.0000 0.0000 0.0000
2 Si 0.5000 0.5000 0.3348
3 Si 0.5000 0.5000 0.6652
4 Mo 0.0000 0.0000 0.5000

=====

# 9
Below is a crystal of CsTe2Pd2 relaxed with PBEsol, with properties calculated at the SCAN level.

- spin magnetization (μB per atom) = 0.001
- calculated total energy (eV for the cell shown) = -180.89

Cell lengths 7.4704, 7.4704, 7.4704 Å; angles 144.73, 144.73, 50.74 degrees
Sites, in units of the cell vectors:
1 Cs 0.0000 0.0000 0.0000
2 Te 0.3525 0.3525 0.0000
3 Te 0.6475 0.6475 0.0000
4 Pd 0.2500 0.7500 0.5000
5 Pd 0.7500 0.2500 0.5000

=====

# 10
Below is a crystal of PrSbMo2O9 relaxed with PBEsol, with properties calculated at the SCAN level.

- spin magnetization (μB per atom) = 0.000
- calculated total energy (eV for the cell shown) = -949.86

Cell lengths 9.7563, 9.7563, 10.9034 Å; angles 111.98, 111.98, 95.69 degrees
Sites, in units of the cell vectors:
1 Pr 0.1239 0.8761 0.7500
2 Pr 0.3254 0.6746 0.2500
3 Pr 0.6746 0.3254 0.7500
4 Pr 0.8761 0.1239 0.2500
5 Sb 0.3499 0.3789 0.4619
6 Sb 0.3789 0.3499 0.9619
7 Sb 0.6211 0.6501 0.0381
8 Sb 0.6501 0.6211 0.5381
9 Mo 0.0510 0.2608 0.0304
10 Mo 0.0595 0.4365 0.6980
11 Mo 0.2608 0.0510 0.5304
12 Mo 0.4365 0.0595 0.1980
13 Mo 0.5635 0.9405 0.8020
14 Mo 0.7392 0.9490 0.4696
15 Mo 0.9405 0.5635 0.3020
16 Mo 0.9490 0.7392 0.9696
17 O 0.0211 0.6947 0.4880
18 O 0.0591 0.2308 0.1828
19 O 0.0629 0.0954 0.9041
20 O 0.0854 0.5508 0.2428
21 O 0.0954 0.0629 0.4041
22 O 0.1244 0.7053 0.0581
23 O 0.1390 0.6169 0.7211
24 O 0.2120 0.3749 0.8020
25 O 0.2195 0.4015 0.0726
26 O 0.2308 0.0591 0.6828
27 O 0.2947 0.8756 0.4419
28 O 0.3053 0.9789 0.0120
29 O 0.3749 0.2120 0.3020
30 O 0.3831 0.8610 0.7789
31 O 0.4015 0.2195 0.5726
32 O 0.4239 0.5382 0.3996
33 O 0.4492 0.9146 0.2572
34 O 0.4618 0.5761 0.1004
35 O 0.5382 0.4239 0.8996
36 O 0.5508 0.0854 0.7428
37 O 0.5761 0.4618 0.6004
38 O 0.5985 0.7805 0.4274
39 O 0.6169 0.1390 0.2211
40 O 0.6251 0.7880 0.6980
41 O 0.6947 0.0211 0.9880
42 O 0.7053 0.1244 0.5581
43 O 0.7692 0.9409 0.3172
44 O 0.7805 0.5985 0.9274
45 O 0.7880 0.6251 0.1980
46 O 0.8610 0.3831 0.2789
47 O 0.8756 0.2947 0.9419
48 O 0.9046 0.9371 0.5959
49 O 0.9146 0.4492 0.7572
50 O 0.9371 0.9046 0.0959
51 O 0.9409 0.7692 0.8172
52 O 0.9789 0.3053 0.5120

=====

# 11
Below is a crystal of Li4Ni3SnO8 relaxed with PBEsol, with properties calculated at the SCAN level.

- spin magnetization (μB per atom) = 0.250
- calculated total energy (eV for the cell shown) = -171.46

Cell lengths 5.8701, 5.8701, 5.8701 Å; angles 59.99, 59.99, 59.99 degrees
Sites, in units of the cell vectors:
1 Li 0.0000 0.0000 0.0000
2 Li 0.0000 0.5000 0.5000
3 Li 0.5000 0.0000 0.5000
4 Li 0.5000 0.5000 0.0000
5 Ni 0.0000 0.0000 0.5000
6 Ni 0.0000 0.5000 0.0000
7 Ni 0.5000 0.0000 0.0000
8 Sn 0.5000 0.5000 0.5000
9 O 0.2320 0.2320 0.2320
10 O 0.2430 0.7480 0.7480
11 O 0.2520 0.2520 0.7570
12 O 0.2520 0.7570 0.2520
13 O 0.7480 0.2430 0.7480
14 O 0.7480 0.7480 0.2430
15 O 0.7570 0.2520 0.2520
16 O 0.7680 0.7680 0.7680

=====

# 12
Below is a crystal of YAl7Cu5 relaxed with PBEsol, with properties calculated at the SCAN level.

- spin magnetization (μB per atom) = 0.001
- energy relative to the elements (kJ/mol of formula units) = -549

Cell lengths 6.5991, 6.5991, 6.5991 Å; angles 134.78, 98.13, 98.87 degrees
Sites, in units of the cell vectors:
1 Y 0.0000 0.0000 0.0000
2 Al 0.1985 0.4914 0.7071
3 Al 0.2262 0.7262 0.5000
4 Al 0.3494 0.3494 0.0000
5 Al 0.3541 0.0071 0.3470
6 Al 0.6561 0.6561 0.0000
7 Al 0.6601 0.0071 0.6530
8 Al 0.7843 0.4914 0.2929
9 Cu 0.9996 0.4985 0.0043
10 Cu 0.9996 0.9953 0.5010
11 Cu 0.4943 0.4985 0.4990
12 Cu 0.4943 0.9953 0.9957
13 Cu 0.7719 0.2719 0.5000